Entry 1:
Here is an optimized crystal structure of SrScOs from Alexandria. Energies are from PBE-GGA. Values from VASP.

```
&SYSTEM
  ibrav = 0, nat = 3, ntyp = 3
/
ATOMIC_SPECIES
Sc 44.96 Sc.upf
Sr 87.62 Sr.upf
Os 190.23 Os.upf
CELL_PARAMETERS angstrom
3.568 0.000 0.000
-1.784 3.090 0.000
0.000 0.000 7.204
ATOMIC_POSITIONS angstrom
Sc 1.784 1.030 1.819
Sr 0.000 2.060 5.176
Os 0.000 0.000 0.209
```

Summary:
The value obtained for the final energy is -0.218 Ha/atom. The value obtained for the volume is 79.4 Å³/cell. The size of the total moment is 0.00 Bohr magnetons per cell. The excess energy over the best structure of this formula in the dataset comes out at 1.01 eV/f.u. For the mass density, the calculation gives 6.8 g cm⁻³.

Entry 2:
Here is an optimized crystal structure of Ce2VMoN5 from Alexandria. Energies are from PBE-GGA. Values from VASP.

```
&SYSTEM
  ibrav = 0, nat = 18, ntyp = 4
/
ATOMIC_SPECIES
Mo 95.94 Mo.upf
V 50.94 V.upf
N 14.01 N.upf
Ce 140.12 Ce.upf
CELL_PARAMETERS angstrom
3.303 0.000 0.000
-1.652 6.585 0.000
0.000 0.000 10.045
ATOMIC_POSITIONS angstrom
Mo 1.652 3.838 5.114
Mo 0.000 2.746 0.092
V 0.000 6.075 4.630
V 1.652 0.510 9.653
N 0.000 3.742 6.545
N 1.652 0.096 2.899
N 1.652 2.378 8.762
N 1.652 1.741 5.064
N 0.000 6.488 7.921
N 0.000 4.843 0.042
N 1.652 5.932 5.546
N 0.000 4.207 3.740
N 0.000 0.653 0.524
N 1.652 2.843 1.523
Ce 0.000 1.905 3.028
Ce 0.000 1.474 6.868
Ce 1.652 4.679 8.050
Ce 1.652 5.111 1.845
```

Summary:
The value obtained for the final energy is -0.341 Ha/atom. The value obtained for the volume is 218.5 Å³/cell. The size of the total moment is 0.00 Bohr magnetons per cell. For the mass density, the calculation gives 7.6 g cm⁻³.

Entry 3:
Here is an optimized crystal structure of AgHg2As from Alexandria. Energies are from PBE-GGA. Values from VASP.

```
&SYSTEM
  ibrav = 0, nat = 4, ntyp = 3
/
ATOMIC_SPECIES
Hg 200.59 Hg.upf
As 74.92 As.upf
Ag 107.87 Ag.upf
CELL_PARAMETERS angstrom
-3.857 -3.336 1.912
1.852 -2.966 4.175
0.084 5.336 -1.084
ATOMIC_POSITIONS angstrom
Hg 0.467 -0.390 3.067
Hg 0.000 0.000 0.000
As -2.388 -0.575 1.936
Ag -1.002 -3.151 3.044
```

Summary:
The value obtained for the final energy is -0.066 Ha/atom. The value obtained for the volume is 85.0 Å³/cell. The size of the total moment is 0.00 Bohr magnetons per cell. For the mass density, the calculation gives 11.4 g cm⁻³.

Entry 4:
Here is an optimized crystal structure of RePtCl4 from Alexandria. Energies are from PBE-GGA. Values from VASP.

```
&SYSTEM
  ibrav = 0, nat = 6, ntyp = 3
/
ATOMIC_SPECIES
Cl 35.45 Cl.upf
Re 186.21 Re.upf
Pt 195.08 Pt.upf
CELL_PARAMETERS angstrom
0.000 3.953 3.953
3.953 0.000 3.953
3.953 3.953 0.000
ATOMIC_POSITIONS angstrom
Cl 4.940 2.966 4.940
Cl 4.940 4.940 2.966
Cl 2.966 2.966 2.966
Cl 2.966 4.940 4.940
Re 0.000 0.000 0.000
Pt 5.930 5.930 5.930
```

Summary:
The value obtained for the final energy is -0.096 Ha/atom. The value obtained for the volume is 123.6 Å³/cell. The size of the total moment is 4.37 Bohr magnetons per cell. For the mass density, the calculation gives 7.0 g cm⁻³.

Entry 5:
Here is an optimized crystal structure of Y2PtBr from Alexandria. Energies are from PBE-GGA. Values from VASP.

```
&SYSTEM
  ibrav = 0, nat = 4, ntyp = 3
/
ATOMIC_SPECIES
Br 79.90 Br.upf
Pt 195.08 Pt.upf
Y 88.91 Y.upf
CELL_PARAMETERS angstrom
-3.627 -1.263 -3.362
1.202 -0.691 -4.912
-0.091 -4.689 -2.015
ATOMIC_POSITIONS angstrom
Br -1.258 -3.322 -5.144
Pt -0.629 -1.661 -2.572
Y -1.887 -4.983 -7.717
Y 0.000 0.000 0.000
```

Summary:
The value obtained for the final energy is -0.193 Ha/atom. The value obtained for the volume is 94.0 Å³/cell. The size of the total moment is 0.00 Bohr magnetons per cell. The excess energy over the best structure of this formula in the dataset comes out at 4.61 eV/f.u. For the mass density, the calculation gives 8.0 g cm⁻³.

Entry 6:
Here is an optimized crystal structure of Ta2ZnSe from Alexandria. Energies are from PBE-GGA. Values from VASP.

```
&SYSTEM
  ibrav = 0, nat = 8, ntyp = 3
/
ATOMIC_SPECIES
Se 78.96 Se.upf
Ta 180.95 Ta.upf
Zn 65.41 Zn.upf
CELL_PARAMETERS angstrom
3.956 0.000 0.000
0.000 3.956 0.000
1.978 1.978 9.513
ATOMIC_POSITIONS angstrom
Se 3.956 1.978 4.757
Se 0.000 0.000 0.000
Ta 2.967 2.993 7.135
Ta 2.941 0.989 2.378
Ta 1.015 2.967 2.378
Ta 4.945 4.918 7.135
Zn 1.978 3.956 4.757
Zn 1.978 1.978 0.000
```

Summary:
The value obtained for the final energy is -0.251 Ha/atom. The value obtained for the volume is 148.9 Å³/cell. The size of the total moment is 0.00 Bohr magnetons per cell. The excess energy over the best structure of this formula in the dataset comes out at 1.32 eV/f.u. For the mass density, the calculation gives 11.3 g cm⁻³.

Entry 7:
Here is an optimized crystal structure of LaZn2GaIr from Alexandria. Energies are from PBE-GGA. Values from VASP.

```
&SYSTEM
  ibrav = 0, nat = 5, ntyp = 4
/
ATOMIC_SPECIES
La 138.91 La.upf
Ga 69.72 Ga.upf
Zn 65.41 Zn.upf
Ir 192.22 Ir.upf
CELL_PARAMETERS angstrom
-2.820 3.331 1.183
-0.035 -1.482 4.090
5.322 1.986 -1.548
ATOMIC_POSITIONS angstrom
La 3.377 2.524 0.944
Ga 1.040 2.769 3.326
Zn 0.019 2.734 0.991
Zn 0.546 0.408 0.153
Ir 1.603 0.470 2.498
```

Summary:
The value obtained for the final energy is -0.158 Ha/atom. The value obtained for the volume is 98.0 Å³/cell. The size of the total moment is 0.00 Bohr magnetons per cell. The excess energy over the best structure of this formula in the dataset comes out at 0.00 eV/f.u. For the mass density, the calculation gives 9.0 g cm⁻³.

Entry 8:
Here is an optimized crystal structure of Pm2Ho6ErTm3 from Alexandria. Energies are from PBE-GGA. Values from VASP.

```
&SYSTEM
  ibrav = 0, nat = 12, ntyp = 4
/
ATOMIC_SPECIES
Ho 164.93 Ho.upf
Tm 168.93 Tm.upf
Pm 145.00 Pm.upf
Er 167.26 Er.upf
CELL_PARAMETERS angstrom
6.118 0.002 0.007
-3.056 5.300 0.007
-1.031 -1.785 11.526
ATOMIC_POSITIONS angstrom
Ho -0.003 3.517 8.619
Ho 3.048 1.755 8.619
Ho 2.043 3.538 2.932
Ho 2.035 0.000 2.922
Ho -1.017 1.763 2.922
Ho -0.012 -0.021 8.609
Tm -2.044 3.526 5.771
Tm 4.076 -0.009 5.771
Tm 1.016 1.759 5.771
Pm 0.003 3.534 0.007
Pm 3.059 1.768 0.007
Er 0.000 0.000 0.000
```

Summary:
The value obtained for the final energy is -0.168 Ha/atom. The value obtained for the volume is 374.0 Å³/cell. The size of the total moment is 0.00 Bohr magnetons per cell. For the mass density, the calculation gives 8.7 g cm⁻³.

Entry 9:
Here is an optimized crystal structure of TbThGa2 from Alexandria. Energies are from PBE-GGA. Values from VASP.

```
&SYSTEM
  ibrav = 0, nat = 4, ntyp = 3
/
ATOMIC_SPECIES
Ga 69.72 Ga.upf
Tb 158.93 Tb.upf
Th 232.04 Th.upf
CELL_PARAMETERS angstrom
4.403 0.000 -0.027
0.000 4.105 0.000
-2.160 0.000 5.568
ATOMIC_POSITIONS angstrom
Ga -1.161 0.000 3.079
Ga -1.153 2.053 4.727
Tb 1.034 2.053 2.355
Th 1.054 0.000 5.494
```

Summary:
The value obtained for the final energy is -0.187 Ha/atom. The value obtained for the volume is 100.4 Å³/cell. The size of the total moment is 0.13 Bohr magnetons per cell. The excess energy over the best structure of this formula in the dataset comes out at 0.00 eV/f.u. For the mass density, the calculation gives 8.8 g cm⁻³.

Entry 10:
Here is an optimized crystal structure of MgZrAl from Alexandria. Energies are from PBE-GGA. Values from VASP.

```
&SYSTEM
  ibrav = 0, nat = 3, ntyp = 3
/
ATOMIC_SPECIES
Zr 91.22 Zr.upf
Al 26.98 Al.upf
Mg 24.30 Mg.upf
CELL_PARAMETERS angstrom
6.565 0.696 -0.335
4.702 4.640 0.331
-5.492 -2.970 2.183
ATOMIC_POSITIONS angstrom
Zr 7.392 3.499 -0.002
Al -5.472 -2.957 2.181
Mg 3.856 1.826 -0.001
```

Summary:
The value obtained for the final energy is -0.176 Ha/atom. The value obtained for the volume is 60.7 Å³/cell. The size of the total moment is 0.00 Bohr magnetons per cell. For the mass density, the calculation gives 3.9 g cm⁻³.

Entry 11:
Here is an optimized crystal structure of Y2Zn4GaAu3 from Alexandria. Energies are from PBE-GGA. Values from VASP.

```
&SYSTEM
  ibrav = 0, nat = 10, ntyp = 4
/
ATOMIC_SPECIES
Zn 65.41 Zn.upf
Ga 69.72 Ga.upf
Au 196.97 Au.upf
Y 88.91 Y.upf
CELL_PARAMETERS angstrom
-2.415 2.134 2.535
-1.370 -3.499 1.640
8.546 0.337 7.858
ATOMIC_POSITIONS angstrom
Zn 0.000 0.000 0.000
Zn -1.892 -0.682 2.088
Zn 2.419 -1.627 3.674
Zn 4.235 1.282 6.271
Ga 2.381 -0.514 6.016
Au 6.093 1.355 7.979
Au 4.273 0.169 3.929
Au 0.561 -1.700 1.966
Y 5.663 -1.499 6.657
Y 0.991 1.154 3.288
```

Summary:
The value obtained for the final energy is -0.132 Ha/atom. The value obtained for the volume is 195.2 Å³/cell. The size of the total moment is 0.00 Bohr magnetons per cell. For the mass density, the calculation gives 9.4 g cm⁻³.

Entry 12:
Here is an optimized crystal structure of Mg2ZrBr from Alexandria. Energies are from PBE-GGA. Values from VASP.

```
&SYSTEM
  ibrav = 0, nat = 4, ntyp = 3
/
ATOMIC_SPECIES
Mg 24.30 Mg.upf
Zr 91.22 Zr.upf
Br 79.90 Br.upf
CELL_PARAMETERS angstrom
-7.907 -0.128 5.359
-9.278 -0.216 2.264
-8.234 -3.081 3.736
ATOMIC_POSITIONS angstrom
Mg -0.144 -0.019 0.064
Mg -12.566 -1.693 5.616
Zr -6.355 -0.856 2.840
Br -19.064 -2.569 8.520
```

Summary:
The value obtained for the final energy is -0.133 Ha/atom. The value obtained for the volume is 92.8 Å³/cell. The size of the total moment is 0.00 Bohr magnetons per cell. The excess energy over the best structure of this formula in the dataset comes out at 0.00 eV/f.u. For the mass density, the calculation gives 3.9 g cm⁻³.